VASP calculation (PBE) on a relaxed KCaAs2 crystal.

a b c (Å): 6.1656 6.1656 6.1656
angles (deg): 137.64 137.64 61.46
Closest atoms and distances in Å follow each position.
Element x y z (fractional)
As1 0.0000 0.0000 0.0000  4 Ca 3.15, 4 K 3.46, 4 As 3.46
As2 0.2500 0.7500 0.5000  4 K 3.15, 4 As 3.46, 4 Ca 3.46
Ca1 0.5000 0.5000 0.0000  8 As 3.15-3.46, 4 K 3.46
K1 0.7500 0.2500 0.5000  8 As 3.15-3.46, 4 Ca 3.46

ΔE_f = -260 meV per atom
Total magnetization = 0.001 μB per formula unit
Calculated volume = 105 Å³/cell
SG = No. 119
Offset from the most stable computed form = 469 meV per atom
Fermi-level density of states = 5.44 states/eV/f.u.